VASP calculation (PBE) on crystalline ScBiTe2Au at its relaxed geometry.

Values from the calculation:
electronic total energy	-3.27	eV/atom
theoretical density	6.11	g cm⁻³
ΔE_f (raw)	683	meV per atom

Geometry as CIF:
```
data_ScBiTe2Au
_cell_length_a 5.880
_cell_length_b 5.880
_cell_length_c 5.555
_cell_angle_alpha 90.00
_cell_angle_beta 90.00
_cell_angle_gamma 90.00
_space_group_name_H-M_alt 'P 4/m m m'
_space_group_IT_number 123
_space_group_name_Hall '-P 4 2'
loop_
_atom_site_label
_atom_site_type_symbol
_atom_site_fract_x
_atom_site_fract_y
_atom_site_fract_z
Sc1 Sc 0.000 0.000 0.000
Bi1 Bi 0.000 0.000 0.500
Te1 Te 0.000 0.500 0.500
Au1 Au 0.500 0.500 0.000
```

VASP calculation (PBE) on crystalline ScZn2BiAu at its relaxed geometry.

Values from the calculation:
electronic total energy	-2.53	eV/atom
theoretical density	6.42	g cm⁻³

Geometry as CIF:
```
data_ScZn2BiAu
_cell_length_a 5.209
_cell_length_b 5.209
_cell_length_c 5.550
_cell_angle_alpha 90.00
_cell_angle_beta 90.00
_cell_angle_gamma 90.00
_space_group_name_H-M_alt 'P 4/m m m'
_space_group_IT_number 123
_space_group_name_Hall '-P 4 2'
loop_
_atom_site_label
_atom_site_type_symbol
_atom_site_fract_x
_atom_site_fract_y
_atom_site_fract_z
Sc1 Sc 0.000 0.000 0.000
Zn1 Zn 0.000 0.500 0.000
Bi1 Bi 0.000 0.000 0.500
Au1 Au 0.500 0.500 0.500
```

VASP calculation (PBE) on crystalline BiAu3Se at its relaxed geometry.

Values from the calculation:
electronic total energy	-2.95	eV/atom
theoretical density	11.37	g cm⁻³
ΔE_f (raw)	490	meV per atom
distance to the lowest polymorph of the same formula	0	meV/atom

Geometry as CIF:
```
data_BiAu3Se
_cell_length_a 5.045
_cell_length_b 5.045
_cell_length_c 5.045
_cell_angle_alpha 90.00
_cell_angle_beta 90.00
_cell_angle_gamma 90.00
_space_group_name_H-M_alt 'P m -3 m'
_space_group_IT_number 221
_space_group_name_Hall '-P 4 2 3'
loop_
_atom_site_label
_atom_site_type_symbol
_atom_site_fract_x
_atom_site_fract_y
_atom_site_fract_z
Bi1 Bi 0.000 0.000 0.000
Au1 Au 0.000 0.500 0.500
Se1 Se 0.500 0.500 0.500
```

no.,spin magnetization (μB per formula unit)
1,0.0
2,0.0
3,0.0